[1]
Below is an optimized crystal structure of H2Rh2Se, with properties calculated at the GGA-PBEsol level.

- final energy (eV per atom) = -5.38

Cell lengths 3.099, 3.099, 5.624 Å; angles 106.00, 106.00, 90.00 degrees
Element x y z (fractional)
1 Rh 0.648 0.648 0.296
2 Rh 0.352 0.352 0.704
3 H 0.250 0.750 0.500
4 H 0.750 0.250 0.500
5 Se 0.000 0.000 0.000

=====

[2]
Below is an optimized crystal structure of SiHRh3, with properties calculated at the GGA-PBEsol level.

- final energy (eV per atom) = -7.08

Cell lengths 3.800, 3.800, 3.800 Å; angles 90.00, 90.00, 90.00 degrees
Element x y z (fractional)
1 Rh 0.500 0.000 0.000
2 Rh 0.000 0.000 0.500
3 Rh 0.000 0.500 0.000
4 Si 0.500 0.500 0.500
5 H 0.000 0.000 0.000

=====

[3]
Below is an optimized crystal structure of SiH2Rh, with properties calculated at the GGA-PBEsol level.

- final energy (eV per atom) = -4.92

Cell lengths 3.444, 3.444, 6.707 Å; angles 104.88, 104.88, 90.00 degrees
Element x y z (fractional)
1 Rh 0.000 0.000 0.000
2 Rh 0.250 0.750 0.500
3 Si 0.500 0.500 0.000
4 Si 0.750 0.250 0.500
5 H 0.961 0.375 0.250
6 H 0.625 0.711 0.750
7 H 0.125 0.039 0.750
8 H 0.289 0.875 0.250

=====

[4]
Below is an optimized crystal structure of Sn3HRh, with properties calculated at the GGA-PBEsol level.

- final energy (eV per atom) = -4.40

Cell lengths 5.023, 5.023, 5.023 Å; angles 90.00, 90.00, 90.00 degrees
Element x y z (fractional)
1 Sn 0.000 0.000 0.500
2 Sn 0.500 0.000 0.000
3 Sn 0.000 0.500 0.000
4 H 0.500 0.500 0.500
5 Rh 0.000 0.000 0.000

=====

[5]
Below is an optimized crystal structure of SnH3Rh, with properties calculated at the GGA-PBEsol level.

- final energy (eV per atom) = -3.45

Cell lengths 3.762, 3.762, 3.762 Å; angles 90.00, 90.00, 90.00 degrees
Element x y z (fractional)
1 H 0.000 0.500 0.000
2 H 0.500 0.000 0.000
3 H 0.000 0.000 0.500
4 Rh 0.500 0.500 0.500
5 Sn 0.000 0.000 0.000

=====

[6]
Below is an optimized crystal structure of SnH2Rh2, with properties calculated at the GGA-PBEsol level.

- final energy (eV per atom) = -5.63

Cell lengths 3.198, 3.198, 5.598 Å; angles 106.60, 106.60, 90.00 degrees
Element x y z (fractional)
1 H 0.750 0.250 0.500
2 H 0.250 0.750 0.500
3 Rh 0.352 0.352 0.705
4 Rh 0.648 0.648 0.295
5 Sn 0.000 0.000 0.000